VASP calculation (PBE+U) on crystalline CdFe2O at its relaxed geometry.

abc: 6.0956 6.0956 5.8130
angles: 58.38 58.38 90.00
Closest atoms and distances in Å follow each position.
Fractional coordinates of all 8 atoms:
Fe (0.8750, 0.7645, 0.7500)  2 O 2.00
Fe (0.2355, 0.6250, 0.2500)  2 O 2.00
Fe (0.5145, 0.1250, 0.2500)  2 O 2.00
Fe (0.3750, 0.4855, 0.7500)  2 O 2.00
O (0.2500, 0.7500, 0.5000)  4 Fe 2.00
O (0.5000, 0.5000, 0.0000)  4 Fe 2.00
Cd (0.7500, 0.2500, 0.5000)  4 Fe 2.85
Cd (0.0000, 0.0000, 0.0000)  4 Fe 2.85

Calculated values
Size of the total moment (μB per formula unit): 7.8
Symmetry: No. 122
Theoretical density (Mg/m³): 5.5
Polymorph energy (0 for the lowest one) (eV/f.u.): 0.00
Fermi-level density of states (states/eV/atom): 0.2340